A plane-wave DFT calculation with PBE was carried out for a relaxed structure of MnNiAu4.

Values from the calculation:
ΔH_f (0 K) = 0.3425 eV/atom
Volume = 112 Å³ per cell
Magnetization = 0.85 μB per atom

a b c (Å): 5.4097 5.4097 5.4097
angles (deg): 60.00 60.00 60.00
With the nearest neighbours (Å) after each atom.
Fractional coordinates of all 6 atoms:
Mn  0.7500  0.7500  0.7500  12 Au 3.17, 4 Ni 3.31
Au  0.3749  0.3749  0.3749  6 Au 2.70-2.71
Au  0.8754  0.3749  0.3749  6 Au 2.70-2.71
Au  0.3749  0.8754  0.3749  6 Au 2.70-2.71
Au  0.3749  0.3749  0.8754  6 Au 2.70-2.71
Ni  0.0000  0.0000  0.0000  12 Au 3.17, 4 Mn 3.31

A plane-wave DFT calculation with PBE was carried out for a relaxed structure of Tb4Ho4Er.

Values from the calculation:
ΔH_f (0 K) = 0.0191 eV/atom
E above lowest polymorph = 0 meV/atom
Volume = 280 Å³ per cell
Magnetization = 0.00 μB per atom

a b c (Å): 4.9863 7.8989 7.8989
angles (deg): 84.28 71.60 71.60
With the nearest neighbours (Å) after each atom.
Fractional coordinates of all 9 atoms:
Ho  0.6664  0.0001  0.6672  6 Tb 3.53-3.54, 2 Er 3.53, 4 Ho 3.53-3.54
Ho  0.3336  0.9999  0.3328  6 Tb 3.53-3.54, 2 Er 3.53, 4 Ho 3.53-3.54
Ho  0.6664  0.6672  0.9999  6 Tb 3.53-3.54, 2 Er 3.53, 4 Ho 3.53-3.54
Ho  0.3336  0.3328  0.0001  6 Tb 3.53-3.54, 2 Er 3.53, 4 Ho 3.53-3.54
Er  0.0000  0.0000  0.0000  4 Tb 3.53, 8 Ho 3.53
Tb  0.0001  0.3326  0.6672  6 Ho 3.53-3.54, 1 Er 3.53, 5 Tb 3.54-3.55
Tb  0.6673  0.3328  0.3326  6 Ho 3.53-3.54, 1 Er 3.53, 5 Tb 3.54-3.55
Tb  0.3327  0.6672  0.6674  6 Ho 3.53-3.54, 1 Er 3.53, 5 Tb 3.54-3.55
Tb  0.9999  0.6674  0.3328  6 Ho 3.53-3.54, 1 Er 3.53, 5 Tb 3.54-3.55

A plane-wave DFT calculation with PBE was carried out for a relaxed structure of Ba2LaIn.

Values from the calculation:
ΔH_f (0 K) = -0.0805 eV/atom
Volume = 158 Å³ per cell
Magnetization = 0.00 μB per atom

a b c (Å): 6.8293 6.8293 6.8293
angles (deg): 134.78 134.78 65.87
With the nearest neighbours (Å) after each atom.
Fractional coordinates of all 4 atoms:
Ba  0.0000  0.0000  0.0000  4 Ba 3.71, 4 In 3.89, 4 La 3.89
Ba  0.5000  0.5000  0.0000  4 Ba 3.71, 4 La 3.89, 4 In 3.89
La  0.7500  0.2500  0.5000  4 In 3.71, 8 Ba 3.89
In  0.2500  0.7500  0.5000  4 La 3.71, 8 Ba 3.89

A plane-wave DFT calculation with PBE was carried out for a relaxed structure of Pa4FePSe2.

Values from the calculation:
Formation energy (no corrections) = -7.80 eV per formula unit
Volume = 182 Å³ per cell
Magnetization = 0.00 μB per atom

a b c (Å): 3.8401 7.1050 7.0226
angles (deg): 71.68 90.00 90.00
With the nearest neighbours (Å) after each atom.
Fractional coordinates of all 8 atoms:
Se  0.0000  0.0000  0.0000  6 Pa 2.90-2.95
Se  0.5000  0.0000  0.5000  6 Pa 2.98-3.03
Pa  0.5000  0.7276  0.2520  1 Fe 2.75, 2 P 2.75, 3 Se 2.90-2.98
Pa  0.0000  0.7111  0.7761  2 Fe 2.63, 1 P 2.80
Pa  0.0000  0.2889  0.2239  2 Fe 2.63, 1 P 2.80
Pa  0.5000  0.2724  0.7480  1 Fe 2.75, 2 P 2.75, 3 Se 2.90-2.98
Fe  0.5000  0.5000  0.0000  6 Pa 2.63-2.75
P  0.0000  0.5000  0.5000  6 Pa 2.75-2.80

A plane-wave DFT calculation with PBE was carried out for a relaxed structure of LiCdCl2.

Values from the calculation:
Formation energy (no corrections) = -3.74 eV per formula unit
E above lowest polymorph = 124 meV/atom
Volume = 104 Å³ per cell
Magnetization = 0.00 μB per atom

a b c (Å): 5.6917 5.6917 5.6917
angles (deg): 143.36 99.92 91.45
With the nearest neighbours (Å) after each atom.
Fractional coordinates of all 4 atoms:
Cd  0.2500  0.7500  0.5000  4 Cl 2.93
Li  0.7500  0.2500  0.5000  4 Cl 2.43
Cl  0.9578  0.9578  0.0000  2 Li 2.43
Cl  0.5422  0.5422  0.0000  2 Li 2.43

A plane-wave DFT calculation with PBE was carried out for a relaxed structure of Ba2ScTi2.

Values from the calculation:
ΔH_f (0 K) = 0.6627 eV/atom
E above lowest polymorph = 0 meV/atom
Volume = 167 Å³ per cell
Magnetization = 0.43 μB per atom

a b c (Å): 3.6789 3.6789 12.6385
angles (deg): 81.63 81.63 90.00
With the nearest neighbours (Å) after each atom.
Fractional coordinates of all 5 atoms:
Ba  0.6182  0.6182  0.7636  4 Ba 3.68, 4 Ti 3.74, 4 Sc 3.91
Ba  0.3818  0.3818  0.2364  4 Ba 3.68, 4 Ti 3.74, 4 Sc 3.91
Ti  0.7500  0.2500  0.5000  4 Ti 2.60
Ti  0.2500  0.7500  0.5000  4 Ti 2.60
Sc  0.0000  0.0000  0.0000  4 Sc 3.68, 8 Ba 3.91

- What is the formula in the fifth record?
  LiCdCl2